# 1
Here is a geometry-optimized TaZn2As structure from Alexandria. Energies are from PBE.

a b c (Å): 3.0040 3.0040 25.9612
angles (deg): 90.00 90.00 120.00
Space group R3m (No. 160, hexagonal axes)
Unique sites:
1 Ta 0.0000 0.0000 0.0000
2 Zn 0.0000 0.0000 0.4966
3 Zn 0.0000 0.0000 0.7533
4 As 0.0000 0.0000 0.2500

formation enthalpy at 0 K = 0.0748 eV per atom
total DFT energy (no corrections) = -4.69 eV per atom

***

# 2
Here is a geometry-optimized La6In2CoAu structure from Alexandria. Energies are from PBE.

a b c (Å): 7.338 7.339 7.438
angles (deg): 66.23 69.16 68.19
Space group P-1 (No. 2)
Unique sites:
1 La 0.138 0.335 0.272
2 La 0.224 0.852 0.164
3 La 0.334 0.781 0.634
4 In 0.259 0.258 0.747
5 Co 0.000 0.000 0.500
6 Au 0.500 0.500 0.000

formation enthalpy at 0 K = -0.3092 eV per atom
total DFT energy (no corrections) = -4.85 eV per atom